DFT (PBE) results for an optimized crystal structure of Nd4Dy10Er.

Results
**Spin magnetization**: 0.0 μB/f.u.
**E**: -4.381 eV/atom
**ΔH_f (0 K)**: 3.9 eV per formula unit

Unit cell a=8.9241 b=8.9241 c=8.9241 alpha=101.40 beta=101.40 gamma=127.20
With the nearest neighbours (Å) after each atom.
Positions (direct):
Nd 0.2280 0.2280 0.4561  8 Dy 3.48-3.56, 1 Er 3.65
Nd 0.2280 0.7720 0.0000  8 Dy 3.48-3.56, 1 Er 3.65
Nd 0.7720 0.2280 0.0000  8 Dy 3.48-3.56, 1 Er 3.65
Nd 0.7720 0.7720 0.5439  8 Dy 3.48-3.56, 1 Er 3.65
Dy 0.0840 0.2926 0.7914  4 Dy 3.29-3.33, 1 Er 3.31, 4 Nd 3.48-3.56
Dy 0.2500 0.7500 0.5000  4 Dy 3.31
Dy 0.2926 0.0840 0.7914  4 Dy 3.29-3.33, 1 Er 3.31, 4 Nd 3.48-3.56
Dy 0.2926 0.5011 0.2086  4 Dy 3.29-3.33, 1 Er 3.31, 4 Nd 3.48-3.56
Dy 0.4989 0.7074 0.7914  4 Dy 3.29-3.33, 1 Er 3.31, 4 Nd 3.48-3.56
Dy 0.5011 0.2926 0.2086  4 Dy 3.29-3.33, 1 Er 3.31, 4 Nd 3.48-3.56
Dy 0.7074 0.4989 0.7914  4 Dy 3.29-3.33, 1 Er 3.31, 4 Nd 3.48-3.56
Dy 0.7074 0.9160 0.2086  4 Dy 3.29-3.33, 1 Er 3.31, 4 Nd 3.48-3.56
Dy 0.7500 0.2500 0.5000  4 Dy 3.31
Dy 0.9160 0.7074 0.2086  4 Dy 3.29-3.33, 1 Er 3.31, 4 Nd 3.48-3.56
Er 0.0000 0.0000 0.0000  8 Dy 3.31, 4 Nd 3.65